# KCrAg2 PBE relaxed
data_KCrAg2
_chemical_formula_sum 'K4 Cr4 Ag8'
_cell_length_a 7.184
_cell_length_b 7.184
_cell_length_c 7.184
_cell_angle_alpha 90.00
_cell_angle_beta 90.00
_cell_angle_gamma 90.00
_symmetry_space_group_name_H-M 'F -4 3 m'
_symmetry_Int_Tables_number 216
_symmetry_space_group_name_Hall 'F -4 2 3'
loop_
_atom_site_label
_atom_site_type_symbol
_atom_site_fract_x
_atom_site_fract_y
_atom_site_fract_z
K1 K 0.000 0.000 0.000
Cr1 Cr 0.250 0.250 0.750
Ag1 Ag 0.000 0.000 0.500
Ag2 Ag 0.250 0.250 0.250
# - crystal system = cubic
# - energy above the lowest structure with this stoichiometry (meV/atom) = 264.2
# - formation energy from the elements (eV per atom) = 0.672